Record 1
{"formula": "CaAgTe2", "functional": "SCAN", "state": "single point on PBEsol structure", "crystal_system": "tetragonal", "raw_formation_energy_ev_per_atom": -0.745, "spacegroup": "I-42d (122)", "dos_ef_per_ev_cell": 1.6, "magmom_total_mub_per_fu": 0.0, "cell": [[-0.545, 6.571, 0.004], [-4.633, -3.465, 3.163], [5.640, -1.302, 3.158]], "species": ["Ag", "Ag", "Te", "Te", "Te", "Te", "Ca", "Ca"], "frac_coords": [[0.250, 0.750, 0.500], [0.000, 0.000, 0.000], [0.343, 0.875, 0.968], [0.625, 0.657, 0.532], [0.907, 0.375, 0.032], [0.125, 0.093, 0.468], [0.500, 0.500, 0.000], [0.750, 0.250, 0.500]]}


Record 2
{"formula": "Ba2PbCl", "functional": "SCAN", "state": "single point on PBEsol structure", "polymorph_energy_mev_per_atom": 54, "crystal_system": "tetragonal", "raw_formation_energy_ev_per_atom": -1.416, "spacegroup": "P4/mmm (123)", "dos_ef_per_ev_cell": 4.0, "magmom_total_mub_per_fu": 0.0, "cell": [[-0.396, -1.762, 4.453], [4.151, -2.355, -0.562], [3.388, 5.392, 2.435]], "species": ["Cl", "Ba", "Ba", "Pb"], "frac_coords": [[0.000, 0.000, 0.375], [0.500, 0.500, 0.375], [0.000, 0.000, 0.875], [0.500, 0.500, 0.875]]}


Record 3
{"formula": "RbCuW3", "functional": "SCAN", "state": "single point on PBEsol structure", "crystal_system": "cubic", "spacegroup": "Pm-3m (221)", "dos_ef_per_ev_cell": 3.7, "magmom_total_mub_per_fu": 0.0, "formation_enthalpy_0k_ev_per_atom": 4.389, "cell": [[4.596, 0.000, 0.000], [0.000, 4.596, 0.000], [0.000, 0.000, 4.596]], "species": ["Rb", "W", "W", "W", "Cu"], "frac_coords": [[0.000, 0.000, 0.000], [0.000, 0.000, 0.500], [0.000, 0.500, 0.000], [0.500, 0.000, 0.000], [0.500, 0.500, 0.500]]}


Record 4
{"formula": "Ag2RuBr", "functional": "SCAN", "state": "single point on PBEsol structure", "polymorph_energy_mev_per_atom": 112, "crystal_system": "orthorhombic", "raw_formation_energy_ev_per_atom": 0.610, "spacegroup": "Cmm2 (35)", "dos_ef_per_ev_cell": 2.7, "magmom_total_mub_per_fu": 0.0, "cell": [[-2.065, -0.647, 1.921], [1.029, -2.106, -1.782], [6.588, -2.161, 6.355]], "species": ["Ru", "Ag", "Ag", "Br"], "frac_coords": [[0.500, 0.000, 0.743], [0.500, 0.000, 0.238], [0.000, 0.000, 0.988], [0.000, 0.000, 0.531]]}


Record 5
{"formula": "Cu3SbCl", "functional": "SCAN", "state": "single point on PBEsol structure", "crystal_system": "cubic", "raw_formation_energy_ev_per_atom": 0.512, "spacegroup": "Pm-3m (221)", "dos_ef_per_ev_cell": 8.5, "magmom_total_mub_per_fu": 0.0, "cell": [[4.820, 0.000, 0.000], [0.000, 4.820, 0.000], [0.000, 0.000, 4.820]], "species": ["Cu", "Cu", "Cu", "Sb", "Cl"], "frac_coords": [[0.000, 0.000, 0.500], [0.000, 0.500, 0.000], [0.500, 0.000, 0.000], [0.000, 0.000, 0.000], [0.500, 0.500, 0.500]]}


Record 6
{"formula": "SrCuRu2", "functional": "SCAN", "state": "single point on PBEsol structure", "polymorph_energy_mev_per_atom": 0, "crystal_system": "trigonal", "spacegroup": "R3m (160)", "dos_ef_per_ev_cell": 1.6, "magmom_total_mub_per_fu": 0.0, "formation_enthalpy_0k_ev_per_atom": 0.106, "cell": [[-0.673, 4.037, 0.933], [-3.876, 1.594, -0.248], [-2.393, 0.544, 5.364]], "species": ["Cu", "Sr", "Ru", "Ru"], "frac_coords": [[0.299, 0.299, 0.103], [0.497, 0.497, 0.508], [0.687, 0.687, 0.940], [0.011, 0.011, 0.968]]}


Record 7
{"formula": "LiCa2HfAg", "functional": "SCAN", "state": "single point on PBEsol structure", "crystal_system": "tetragonal", "spacegroup": "P4/mmm (123)", "dos_ef_per_ev_cell": 3.4, "magmom_total_mub_per_fu": 3.2, "formation_enthalpy_0k_ev_per_atom": 0.829, "cell": [[4.998, 0.000, 0.000], [0.000, 5.238, 0.000], [0.000, 0.000, 5.238]], "species": ["Ca", "Ca", "Hf", "Ag", "Li"], "frac_coords": [[0.000, 0.000, 0.500], [0.000, 0.500, 0.000], [0.500, 0.000, 0.000], [0.500, 0.500, 0.500], [0.000, 0.000, 0.000]]}


Record 8
{"formula": "PbBr5", "functional": "SCAN", "state": "single point on PBEsol structure", "polymorph_energy_mev_per_atom": 0, "crystal_system": "orthorhombic", "raw_formation_energy_ev_per_atom": -0.286, "spacegroup": "Amm2 (38)", "dos_ef_per_ev_cell": 2.9, "magmom_total_mub_per_fu": 0.0, "cell": [[-1.401, -0.626, 4.780], [4.854, -2.246, 1.129], [3.338, 6.831, -0.764]], "species": ["Br", "Br", "Br", "Br", "Br", "Pb"], "frac_coords": [[0.368, 0.500, 0.737], [0.833, 0.500, 0.666], [0.634, 0.000, 0.268], [0.368, 0.000, 0.736], [0.103, 0.500, 0.205], [0.028, 0.000, 0.055]]}


Record 9
{"formula": "Ag24Pb5", "functional": "SCAN", "state": "single point on PBEsol structure", "crystal_system": "cubic", "spacegroup": "I-43m (217)", "dos_ef_per_ev_cell": 8.7, "magmom_total_mub_per_fu": 0.0, "formation_enthalpy_0k_ev_per_atom": 0.093, "cell": [[8.878, 0.000, 0.000], [-2.959, 8.370, 0.000], [-2.959, -4.185, 7.249]], "species": ["Ag", "Ag", "Ag", "Ag", "Ag", "Ag", "Ag", "Ag", "Ag", "Ag", "Ag", "Ag", "Ag", "Ag", "Ag", "Ag", "Ag", "Ag", "Ag", "Ag", "Ag", "Ag", "Ag", "Ag", "Pb", "Pb", "Pb", "Pb", "Pb"], "frac_coords": [[0.680, 0.680, 0.268], [0.808, 0.618, 0.000], [0.320, 0.588, 0.000], [0.190, 0.382, 0.382], [0.412, 0.732, 0.412], [0.382, 0.382, 0.190], [0.192, 0.192, 0.810], [0.732, 0.412, 0.412], [0.808, 0.000, 0.618], [0.000, 0.618, 0.808], [0.412, 0.412, 0.732], [0.000, 0.588, 0.320], [0.382, 0.190, 0.382], [0.618, 0.808, 0.000], [0.192, 0.810, 0.192], [0.588, 0.320, 0.000], [0.320, 0.000, 0.588], [0.618, 0.000, 0.808], [0.680, 0.268, 0.680], [0.268, 0.680, 0.680], [0.000, 0.808, 0.618], [0.588, 0.000, 0.320], [0.000, 0.320, 0.588], [0.810, 0.192, 0.192], [0.000, 0.370, 0.000], [0.370, 0.000, 0.000], [0.630, 0.630, 0.630], [0.000, 0.000, 0.000], [0.000, 0.000, 0.370]]}


Record 10
{"formula": "AgPBr", "functional": "SCAN", "state": "single point on PBEsol structure", "polymorph_energy_mev_per_atom": 0, "crystal_system": "orthorhombic", "raw_formation_energy_ev_per_atom": 0.122, "spacegroup": "Imm2 (44)", "dos_ef_per_ev_cell": 0.7, "magmom_total_mub_per_fu": 0.0, "cell": [[-0.292, -1.122, 3.188], [2.774, -2.522, -0.634], [2.462, 5.485, 0.351]], "species": ["Ag", "Br", "P"], "frac_coords": [[0.084, 0.084, 0.168], [0.354, 0.354, 0.707], [0.562, 0.562, 0.125]]}


Record 11
{"formula": "BaTaCd", "functional": "SCAN", "state": "single point on PBEsol structure", "polymorph_energy_mev_per_atom": 94, "crystal_system": "orthorhombic", "spacegroup": "Imm2 (44)", "dos_ef_per_ev_cell": 3.5, "magmom_total_mub_per_fu": 0.0, "formation_enthalpy_0k_ev_per_atom": 0.772, "cell": [[-1.306, -1.205, -2.531], [-3.051, -1.831, 2.446], [-1.239, 6.438, -0.537]], "species": ["Ta", "Ba", "Cd"], "frac_coords": [[0.293, 0.293, 0.586], [0.003, 0.003, 0.007], [0.704, 0.704, 0.407]]}


Record 12
{"formula": "MnZnNF2", "functional": "SCAN", "state": "single point on PBEsol structure", "crystal_system": "tetragonal", "raw_formation_energy_ev_per_atom": -1.057, "spacegroup": "P4/mmm (123)", "dos_ef_per_ev_cell": 1.4, "magmom_total_mub_per_fu": 3.8, "cell": [[-2.441, -2.103, 2.095], [0.943, -3.122, -2.034], [2.825, -0.780, 2.508]], "species": ["F", "F", "Zn", "N", "Mn"], "frac_coords": [[0.000, 0.500, 0.000], [0.500, 0.000, 0.000], [0.500, 0.500, 0.500], [0.000, 0.000, 0.500], [0.000, 0.000, 0.000]]}


Record 13
{"formula": "Be2AlHgBi", "functional": "SCAN", "state": "single point on PBEsol structure", "crystal_system": "tetragonal", "spacegroup": "P4/mmm (123)", "dos_ef_per_ev_cell": 2.4, "magmom_total_mub_per_fu": 0.0, "formation_enthalpy_0k_ev_per_atom": 0.835, "cell": [[4.429, 0.000, 0.000], [0.000, 4.429, 0.000], [0.000, 0.000, 5.390]], "species": ["Be", "Be", "Bi", "Hg", "Al"], "frac_coords": [[0.000, 0.500, 0.000], [0.500, 0.000, 0.000], [0.500, 0.500, 0.500], [0.000, 0.000, 0.500], [0.000, 0.000, 0.000]]}


Record 14
{"formula": "Al2MoRu", "functional": "SCAN", "state": "single point on PBEsol structure", "polymorph_energy_mev_per_atom": 1, "crystal_system": "monoclinic", "spacegroup": "Cm (8)", "dos_ef_per_ev_cell": 1.9, "magmom_total_mub_per_fu": 0.0, "formation_enthalpy_0k_ev_per_atom": -0.386, "cell": [[-2.907, -0.292, -0.116], [0.237, -3.440, 2.715], [0.957, 4.065, 2.619]], "species": ["Mo", "Al", "Al", "Ru"], "frac_coords": [[0.510, 0.487, 0.020], [0.756, 0.272, 0.513], [0.986, 0.970, 0.971], [0.248, 0.772, 0.496]]}


Record 15
{"formula": "La7Pd3", "functional": "SCAN", "state": "single point on PBEsol structure", "crystal_system": "hexagonal", "spacegroup": "P6_3mc (186)", "dos_ef_per_ev_cell": 20.4, "magmom_total_mub_per_fu": 0.0, "formation_enthalpy_0k_ev_per_atom": -0.592, "cell": [[6.446, 0.000, 0.000], [0.000, 10.178, 0.000], [0.000, -5.089, 8.814]], "species": ["La", "La", "La", "La", "La", "La", "La", "La", "La", "La", "La", "La", "La", "La", "Pd", "Pd", "Pd", "Pd", "Pd", "Pd"], "frac_coords": [[0.763, 0.251, 0.125], [0.552, 0.463, 0.537], [0.263, 0.749, 0.875], [0.263, 0.125, 0.251], [0.763, 0.875, 0.125], [0.763, 0.875, 0.749], [0.052, 0.537, 0.463], [0.052, 0.537, 0.074], [0.263, 0.125, 0.875], [0.049, 0.333, 0.667], [0.552, 0.463, 0.926], [0.549, 0.667, 0.333], [0.552, 0.074, 0.537], [0.052, 0.926, 0.463], [0.805, 0.188, 0.376], [0.305, 0.812, 0.624], [0.805, 0.624, 0.812], [0.305, 0.812, 0.188], [0.805, 0.188, 0.812], [0.305, 0.376, 0.188]]}


Record 16
{"formula": "MnSbTe2Ru", "functional": "SCAN", "state": "single point on PBEsol structure", "polymorph_energy_mev_per_atom": 0, "crystal_system": "tetragonal", "raw_formation_energy_ev_per_atom": 0.803, "spacegroup": "P4/mmm (123)", "dos_ef_per_ev_cell": 3.5, "magmom_total_mub_per_fu": 2.7, "cell": [[4.407, 0.000, 0.000], [0.000, 5.014, 0.000], [0.000, 0.000, 5.014]], "species": ["Mn", "Te", "Te", "Ru", "Sb"], "frac_coords": [[0.000, 0.000, 0.000], [0.000, 0.500, 0.000], [0.000, 0.000, 0.500], [0.500, 0.000, 0.000], [0.500, 0.500, 0.500]]}


Record 17
{"formula": "Tc2PtCl", "functional": "SCAN", "state": "single point on PBEsol structure", "polymorph_energy_mev_per_atom": 0, "crystal_system": "trigonal", "raw_formation_energy_ev_per_atom": 0.327, "spacegroup": "R-3m (166)", "dos_ef_per_ev_cell": 4.0, "magmom_total_mub_per_fu": 0.0, "cell": [[2.799, 0.000, 0.000], [1.399, 2.424, 0.000], [1.399, 0.808, 8.342]], "species": ["Tc", "Tc", "Cl", "Pt"], "frac_coords": [[0.246, 0.246, 0.261], [0.754, 0.754, 0.739], [0.500, 0.500, 0.500], [0.000, 0.000, 0.000]]}


Record 18
{"formula": "LiPdIN2", "functional": "SCAN", "state": "single point on PBEsol structure", "crystal_system": "tetragonal", "raw_formation_energy_ev_per_atom": 1.488, "spacegroup": "P4/mmm (123)", "dos_ef_per_ev_cell": 2.2, "magmom_total_mub_per_fu": 5.1, "cell": [[-0.054, 3.701, 0.849], [0.602, -0.830, 3.657], [5.442, 0.271, -0.834]], "species": ["N", "N", "I", "Li", "Pd"], "frac_coords": [[0.500, 0.000, 0.000], [0.000, 0.500, 0.000], [0.000, 0.000, 0.500], [0.000, 0.000, 0.000], [0.500, 0.500, 0.500]]}


Record 19
{"formula": "CsNb2TcGe", "functional": "SCAN", "state": "single point on PBEsol structure", "crystal_system": "tetragonal", "spacegroup": "P4/mmm (123)", "dos_ef_per_ev_cell": 4.6, "magmom_total_mub_per_fu": 0.1, "formation_enthalpy_0k_ev_per_atom": 1.909, "cell": [[4.856, 0.000, 0.000], [0.000, 4.856, 0.000], [0.000, 0.000, 5.830]], "species": ["Tc", "Ge", "Nb", "Nb", "Cs"], "frac_coords": [[0.500, 0.500, 0.500], [0.000, 0.000, 0.000], [0.500, 0.000, 0.000], [0.000, 0.500, 0.000], [0.000, 0.000, 0.500]]}


Record 20
{"formula": "Li2CaRh", "functional": "SCAN", "state": "single point on PBEsol structure", "polymorph_energy_mev_per_atom": 50, "crystal_system": "cubic", "spacegroup": "Fm-3m (225)", "dos_ef_per_ev_cell": 2.1, "magmom_total_mub_per_fu": 0.0, "formation_enthalpy_0k_ev_per_atom": -0.115, "cell": [[-2.735, 3.620, -0.307], [-4.275, -0.244, 1.530], [-1.204, 2.265, 3.755]], "species": ["Ca", "Li", "Li", "Rh"], "frac_coords": [[0.000, 0.000, 0.000], [0.750, 0.750, 0.750], [0.250, 0.250, 0.250], [0.500, 0.500, 0.500]]}


Record 21
{"formula": "BaNaP3H3N3O6", "functional": "SCAN", "state": "single point on PBEsol structure", "crystal_system": "monoclinic", "total_energy_ev_per_cell": -364.32, "spacegroup": "C2/m (12)", "dos_ef_per_ev_cell": 0.0, "magmom_total_mub_per_fu": 0.0, "cell": [[7.470, 0.001, 0.021], [0.298, 7.464, 0.021], [2.472, 2.376, 7.138]], "species": ["H", "H", "H", "H", "H", "H", "N", "N", "N", "N", "N", "N", "P", "P", "P", "P", "P", "P", "O", "O", "O", "O", "O", "O", "O", "O", "O", "O", "O", "O", "Na", "Na", "Ba", "Ba"], "frac_coords": [[0.255, 0.890, 0.080], [0.890, 0.255, 0.080], [0.745, 0.110, 0.920], [0.939, 0.939, 0.296], [0.110, 0.745, 0.920], [0.061, 0.061, 0.704], [0.162, 0.162, 0.691], [0.714, 0.972, 0.009], [0.028, 0.286, 0.991], [0.972, 0.714, 0.009], [0.286, 0.028, 0.991], [0.838, 0.838, 0.309], [0.198, 0.198, 0.086], [0.061, 0.345, 0.761], [0.802, 0.802, 0.914], [0.939, 0.655, 0.239], [0.345, 0.061, 0.761], [0.655, 0.939, 0.239], [0.508, 0.209, 0.656], [0.351, 0.351, 0.028], [0.104, 0.104, 0.295], [0.791, 0.492, 0.344], [0.649, 0.649, 0.972], [0.209, 0.508, 0.656], [0.896, 0.896, 0.705], [0.492, 0.791, 0.344], [0.355, 0.869, 0.734], [0.645, 0.131, 0.266], [0.131, 0.645, 0.266], [0.869, 0.355, 0.734], [0.820, 0.180, 0.500], [0.180, 0.820, 0.500], [0.432, 0.432, 0.307], [0.568, 0.568, 0.693]]}


Record 22
{"formula": "LaYAg2", "functional": "SCAN", "state": "single point on PBEsol structure", "crystal_system": "orthorhombic", "spacegroup": "Imm2 (44)", "dos_ef_per_ev_cell": 4.0, "magmom_total_mub_per_fu": 0.0, "formation_enthalpy_0k_ev_per_atom": -0.196, "cell": [[-1.660, -0.358, -3.173], [0.154, -4.937, 0.477], [-4.051, 2.740, 3.851]], "species": ["La", "Y", "Ag", "Ag"], "frac_coords": [[0.482, 0.482, 0.965], [0.271, 0.771, 0.541], [0.722, 0.222, 0.445], [0.025, 0.025, 0.049]]}


Record 23
{"formula": "Cd3P2", "functional": "SCAN", "state": "single point on PBEsol structure", "polymorph_energy_mev_per_atom": 14, "crystal_system": "cubic", "spacegroup": "Ia-3 (206)", "magmom_total_mub_per_fu": 0.0, "formation_enthalpy_0k_ev_per_atom": -0.090, "cell": [[-7.606, -4.901, 5.554], [6.671, -7.224, -4.004], [5.341, 6.600, 6.374]], "species": ["Cd", "Cd", "Cd", "Cd", "Cd", "Cd", "Cd", "Cd", "Cd", "Cd", "Cd", "Cd", "Cd", "Cd", "Cd", "Cd", "Cd", "Cd", "Cd", "Cd", "Cd", "Cd", "Cd", "Cd", "P", "P", "P", "P", "P", "P", "P", "P", "P", "P", "P", "P", "P", "P", "P", "P"], "frac_coords": [[0.476, 0.458, 0.725], [0.458, 0.225, 0.976], [0.250, 0.725, 0.267], [0.542, 0.775, 0.024], [0.017, 0.267, 0.542], [0.750, 0.483, 0.524], [0.517, 0.976, 0.750], [0.275, 0.233, 0.250], [0.250, 0.517, 0.476], [0.976, 0.250, 0.017], [0.958, 0.983, 0.233], [0.024, 0.750, 0.983], [0.775, 0.524, 0.042], [0.733, 0.958, 0.483], [0.524, 0.542, 0.275], [0.233, 0.750, 0.775], [0.267, 0.042, 0.517], [0.042, 0.017, 0.767], [0.225, 0.476, 0.958], [0.483, 0.024, 0.250], [0.767, 0.250, 0.225], [0.750, 0.275, 0.733], [0.983, 0.733, 0.458], [0.725, 0.767, 0.750], [0.016, 0.250, 0.266], [0.750, 0.234, 0.484], [0.250, 0.266, 0.016], [0.500, 0.500, 0.500], [0.250, 0.766, 0.516], [0.766, 0.016, 0.750], [0.500, 0.000, 0.000], [0.266, 0.516, 0.750], [0.984, 0.750, 0.734], [0.000, 0.000, 0.500], [0.000, 0.500, 0.000], [0.234, 0.984, 0.250], [0.734, 0.484, 0.250], [0.750, 0.734, 0.984], [0.516, 0.250, 0.766], [0.484, 0.750, 0.234]]}